# 1
CaAcHgBi: relaxed, PBE.

Cell: 5.695 5.695 5.695 Å, 60.00 60.00 60.00°
Fractional positions:
Ca: 0.000 0.000 0.000
Ac: 0.500 0.500 0.500
Hg: 0.250 0.250 0.250
Bi: 0.750 0.750 0.750

Calculated values
Calculated total energy, eV per formula unit: -12.73
ΔH_f (0 K), eV/atom: -0.609
V, Å³/atom: 32.66

# 2
BaTa2TeO8: relaxed, PBE.

Cell: 5.348 5.348 7.471 Å, 100.29 100.29 75.26°
Fractional positions:
Ba: 0.000 0.000 0.000
Ta: 0.434 0.434 0.766
Ta: 0.566 0.566 0.234
Te: 0.000 0.000 0.500
O: 0.221 0.747 0.284
O: 0.253 0.779 0.716
O: 0.256 0.256 0.567
O: 0.343 0.343 0.974
O: 0.657 0.657 0.026
O: 0.744 0.744 0.433
O: 0.747 0.221 0.284
O: 0.779 0.253 0.716

Calculated values
Calculated total energy, eV per formula unit: -96.17
V, Å³/atom: 16.78
ΔE_f (raw), eV per atom: -2.311

# 3
SmAg2Pd5: relaxed, PBE.

Cell: 8.505 8.505 8.505 Å, 151.55 151.55 40.67°
Fractional positions:
Sm: 0.000 0.000 0.000
Ag: 0.251 0.251 0.000
Ag: 0.749 0.749 0.000
Pd: 0.128 0.628 0.500
Pd: 0.372 0.872 0.500
Pd: 0.500 0.500 0.000
Pd: 0.628 0.128 0.500
Pd: 0.872 0.372 0.500

Calculated values
Calculated total energy, eV per formula unit: -39.69
ΔH_f (0 K), eV/atom: -0.413
V, Å³/atom: 17.42

# 4
SmDy4Tm10: relaxed, PBE.

Cell: 9.326 9.326 9.326 Å, 99.56 99.56 131.90°
Fractional positions:
Sm: 0.000 0.000 0.000
Dy: 0.200 0.599 0.799
Dy: 0.401 0.200 0.600
Dy: 0.599 0.800 0.400
Dy: 0.800 0.401 0.201
Tm: 0.050 0.150 0.698
Tm: 0.150 0.452 0.100
Tm: 0.250 0.750 0.500
Tm: 0.352 0.050 0.900
Tm: 0.452 0.352 0.302
Tm: 0.548 0.648 0.698
Tm: 0.648 0.950 0.100
Tm: 0.750 0.250 0.500
Tm: 0.850 0.548 0.900
Tm: 0.950 0.850 0.302

Calculated values
Calculated total energy, eV per formula unit: -56.71
ΔH_f (0 K), eV/atom: 0.742
V, Å³/atom: 36.75

# 5
Na2MgCoPd: relaxed, PBE.

Cell: 5.038 5.038 4.837 Å, 90.00 90.00 90.00°
Fractional positions:
Na: 0.000 0.500 0.000
Na: 0.500 0.000 0.000
Mg: 0.000 0.000 0.500
Co: 0.000 0.000 0.000
Pd: 0.500 0.500 0.500

Calculated values
Calculated total energy, eV per formula unit: -12.41
ΔH_f (0 K), eV/atom: 0.824
V, Å³/atom: 24.55